[1]
Ba2HCl | PBE | relaxed Values from VASP.

E above lowest polymorph (meV/atom): 65.7
Raw total energy (eV/cell): -25.6
Volume (Å³ per atom): 33.60
Space-group type: I-42d (122)

Quantum ESPRESSO input file:
```
&SYSTEM
  ibrav = 0, nat = 8, ntyp = 3
/
ATOMIC_SPECIES
Ba 137.33 Ba.upf
H 1.01 H.upf
Cl 35.45 Cl.upf
CELL_PARAMETERS angstrom
-3.827 3.827 4.589
3.827 -3.827 4.589
3.827 3.827 -4.589
ATOMIC_POSITIONS angstrom
Ba 5.740 1.497 -1.147
Ba 1.497 1.913 1.147
Ba -1.913 2.330 3.442
Ba 2.330 1.913 5.737
H 0.000 0.000 0.000
H 0.000 3.827 2.295
Cl 3.827 0.000 2.295
Cl 0.000 0.000 4.589
```

[2]
Ho3Al5H12 | PBE | relaxed Values from VASP.

Raw total energy (eV/cell): -288.9
Volume (Å³ per atom): 10.40
Space-group type: Ia-3d (230)

Quantum ESPRESSO input file:
```
&SYSTEM
  ibrav = 0, nat = 80, ntyp = 3
/
ATOMIC_SPECIES
Ho 164.93 Ho.upf
Al 26.98 Al.upf
H 1.01 H.upf
CELL_PARAMETERS angstrom
-5.924 5.924 5.924
5.924 -5.924 5.924
5.924 5.924 -5.924
ATOMIC_POSITIONS angstrom
Ho 2.962 1.481 0.000
Ho 5.924 2.962 -1.481
Ho 1.481 0.000 2.962
Ho 7.405 0.000 2.962
Ho 0.000 2.962 1.481
Ho 2.962 -1.481 5.924
Ho 2.962 7.405 0.000
Ho 5.924 2.962 4.443
Ho -1.481 5.924 2.962
Ho 4.443 5.924 2.962
Ho 0.000 2.962 7.405
Ho 2.962 4.443 5.924
Al 0.000 0.000 0.000
Al 2.962 2.962 -2.962
Al 2.962 -2.962 2.962
Al 5.924 0.000 0.000
Al 8.886 1.481 0.000
Al 5.924 -2.962 4.443
Al 4.443 5.924 -2.962
Al 4.443 0.000 2.962
Al 2.962 4.443 0.000
Al 5.924 2.962 1.481
Al -2.962 2.962 2.962
Al 0.000 5.924 0.000
Al 0.000 0.000 5.924
Al 2.962 2.962 2.962
Al 0.000 2.962 4.443
Al 2.962 1.481 5.924
Al 1.481 5.924 2.962
Al 1.481 0.000 8.886
Al 0.000 8.886 1.481
Al -2.962 4.443 5.924
H 1.735 -0.220 0.751
H 7.152 3.713 -3.182
H 7.659 0.220 0.751
H 7.152 -2.211 3.182
H 5.704 -0.751 1.735
H 9.106 -1.228 2.211
H 0.751 1.735 -0.220
H 8.135 2.742 -1.228
H 3.713 3.182 -1.228
H 5.173 1.735 0.220
H -0.220 0.751 1.735
H 3.182 -1.228 3.713
H 5.704 5.173 -1.735
H 3.182 1.228 2.211
H 3.713 -3.182 7.152
H 5.173 -1.735 5.704
H 2.211 3.182 1.228
H 6.675 4.190 0.220
H 3.182 7.152 -2.211
H 5.704 0.751 4.190
H 1.735 5.704 -0.751
H 7.152 2.211 2.742
H 1.228 2.211 3.182
H 1.735 0.220 5.173
H 4.190 5.704 0.751
H 4.697 3.713 2.742
H -1.228 3.713 3.182
H 4.190 0.220 6.675
H 0.220 5.173 1.735
H 2.742 -1.228 8.135
H -0.751 1.735 5.704
H 3.713 2.742 4.697
H 0.751 7.659 0.220
H 2.211 9.106 -1.228
H 2.742 4.697 3.713
H 0.220 0.751 7.659
H 2.742 7.152 2.211
H 6.144 5.173 4.190
H 0.751 4.190 5.704
H 2.211 2.742 7.152
H -2.211 3.182 7.152
H 5.173 4.190 6.144
H -3.182 7.152 3.713
H 0.220 6.675 4.190
H -1.228 8.135 2.742
H -1.735 5.704 5.173
H -1.228 2.211 9.106
H 4.190 6.144 5.173
```

[3]
Ga2Pt3 | PBE | relaxed Values from VASP.

E above lowest polymorph (meV/atom): 72.0
Raw total energy (eV/cell): -53.0
Volume (Å³ per atom): 16.20
ΔE_f (eV per atom): -0.47
Space-group type: R-3c (167)

Quantum ESPRESSO input file:
```
&SYSTEM
  ibrav = 0, nat = 10, ntyp = 2
/
ATOMIC_SPECIES
Ga 69.72 Ga.upf
Pt 195.08 Pt.upf
CELL_PARAMETERS angstrom
3.529 2.038 3.754
-3.529 2.038 3.754
0.000 -4.075 3.754
ATOMIC_POSITIONS angstrom
Ga 0.000 0.000 1.397
Ga 0.000 0.000 4.235
Ga 0.000 0.000 7.028
Ga 0.000 0.000 9.866
Pt -2.439 -0.149 4.693
Pt -1.090 -2.187 6.570
Pt 1.349 -2.038 4.693
Pt -1.349 2.038 6.570
Pt 1.090 2.187 4.693
Pt 2.439 0.149 6.570
```

no.,magnetization (μB/cell)
1,0.0
2,0.0
3,0.0